Record 1
Here is a geometry-optimized Nd6Dy2YHo structure from the Alexandria database. Energies are from PBE.

a b c (Å): 9.6821 8.9832 8.9832
angles (deg): 118.09 93.83 93.83
Closest atoms and distances in Å follow each position.
Atoms (fractional coordinates):
Nd: 0.6879 0.0117 0.5650  2 Nd 3.29-3.64, 1 Dy 3.48, 1 Ho 3.49, 1 Y 3.62
Nd: 0.1879 0.5650 0.0117  2 Nd 3.29-3.64, 1 Dy 3.48, 1 Ho 3.49, 1 Y 3.62
Nd: 0.8121 0.4350 0.9883  2 Nd 3.29-3.64, 1 Dy 3.48, 1 Ho 3.49, 1 Y 3.62
Nd: 0.4465 0.2389 0.8807  7 Nd 3.45-3.82, 1 Dy 3.49, 2 Y 3.70-3.86
Nd: 0.1184 0.7090 0.4938  4 Nd 3.29-3.68, 3 Dy 3.30-3.48, 2 Ho 3.46-3.58
Nd: 0.5535 0.7611 0.1193  7 Nd 3.45-3.82, 1 Dy 3.49, 2 Y 3.70-3.86
Nd: 0.3121 0.9883 0.4350  2 Nd 3.29-3.64, 1 Dy 3.48, 1 Ho 3.49, 1 Y 3.62
Nd: 0.0535 0.1193 0.7611  7 Nd 3.45-3.82, 1 Dy 3.49, 2 Y 3.70-3.86
Nd: 0.8816 0.2910 0.5062  4 Nd 3.29-3.68, 3 Dy 3.30-3.48, 2 Ho 3.46-3.58
Nd: 0.3816 0.5062 0.2910  4 Nd 3.29-3.68, 3 Dy 3.30-3.48, 2 Ho 3.46-3.58
Nd: 0.6184 0.4938 0.7090  4 Nd 3.29-3.68, 3 Dy 3.30-3.48, 2 Ho 3.46-3.58
Nd: 0.9465 0.8807 0.2389  7 Nd 3.45-3.82, 1 Dy 3.49, 2 Y 3.70-3.86
Y: 0.7500 0.0263 0.9737  4 Dy 3.45, 4 Nd 3.62-3.70
Y: 0.2500 0.9737 0.0263  4 Dy 3.45, 4 Nd 3.62-3.70
Ho: 0.2500 0.4109 0.5891  6 Nd 3.46-3.58, 2 Dy 3.56
Ho: 0.7500 0.5891 0.4109  6 Nd 3.46-3.58, 2 Dy 3.56
Dy: 0.5450 0.1998 0.3006  5 Nd 3.30-3.49, 2 Y 3.45, 1 Ho 3.56
Dy: 0.4550 0.8002 0.6994  5 Nd 3.30-3.49, 2 Y 3.45, 1 Ho 3.56
Dy: 0.9550 0.6994 0.8002  5 Nd 3.30-3.49, 2 Y 3.45, 1 Ho 3.56
Dy: 0.0450 0.3006 0.1998  5 Nd 3.30-3.49, 2 Y 3.45, 1 Ho 3.56

Output
Its energy of formation from the pure elements is 114 meV per atom. Its crystal system is monoclinic. For the total DFT energy (no corrections), the calculation gives -4.772 eV per atom. Its symmetry is No. 15.

Record 2
Here is a geometry-optimized FeNi3Ir4 structure from the Alexandria database. Energies are from PBE.

a b c (Å): 2.6386 4.1588 12.4646
angles (deg): 56.93 96.08 90.00
Closest atoms and distances in Å follow each position.
Atoms (fractional coordinates):
Ir: 0.6670 0.5391 0.3340  5 Ni 2.47-2.65, 4 Ir 2.49-2.64
Ir: 0.6006 0.2579 0.2013  4 Ir 2.49-2.64, 4 Ni 2.49-2.69, 1 Fe 2.70
Ir: 0.3330 0.4609 0.6660  5 Ni 2.47-2.65, 4 Ir 2.49-2.64
Ir: 0.3994 0.7421 0.7987  4 Ir 2.49-2.64, 4 Ni 2.49-2.69, 1 Fe 2.70
Fe: 0.5000 0.0000 0.0000  4 Ni 2.46, 2 Fe 2.64, 2 Ir 2.70
Ni: 0.2137 0.8841 0.4275  7 Ir 2.47-2.69, 2 Ni 2.64
Ni: 0.7863 0.1159 0.5725  7 Ir 2.47-2.69, 2 Ni 2.64
Ni: 0.0000 0.5000 0.0000  4 Fe 2.46, 4 Ir 2.49, 2 Ni 2.64

Output
Its energy of formation from the pure elements is 348 meV per atom. Its crystal system is monoclinic. For the total DFT energy (no corrections), the calculation gives -7.309 eV per atom. Its symmetry is No. 12.

Record 3
Here is a geometry-optimized CaAgIr structure from the Alexandria database. Energies are from PBE.

a b c (Å): 3.0553 3.0553 7.1488
angles (deg): 90.00 90.00 120.00
Closest atoms and distances in Å follow each position.
Atoms (fractional coordinates):
Ag: 0.0000 0.0000 0.9837  3 Ir 2.91, 6 Ag 3.06, 3 Ca 3.19
Ca: 0.6667 0.3333 0.3557  3 Ir 2.80, 6 Ca 3.06
Ir: 0.3333 0.6667 0.6605  3 Ca 2.80, 3 Ag 2.91, 6 Ir 3.06

Output
The calculation puts the offset from the most stable computed form at 1.06 eV/f.u. Its energy of formation from the pure elements is 307 meV per atom. Its crystal system is trigonal. For the total DFT energy (no corrections), the calculation gives -4.265 eV per atom. Its symmetry is No. 156.